# K3SmCr2O8 (PBE+U, optimized geometry)
# Spin magnetization   2.00 μB per formula unit
# Energy   -6.408 eV/atom
data_K3SmCr2O8
_chemical_formula_sum 'K3 Sm1 Cr2 O8'
_cell_length_a 6.0393
_cell_length_b 6.0393
_cell_length_c 7.7143
_cell_angle_alpha 90.00
_cell_angle_beta 90.00
_cell_angle_gamma 120.00
_space_group_name_H-M_alt 'P -3 m 1'
_space_group_IT_number 164
_space_group_name_Hall '-P 3 2"'
loop_
_atom_site_label
_atom_site_type_symbol
_atom_site_fract_x
_atom_site_fract_y
_atom_site_fract_z
_atom_site_occupancy
K1 K 0.0000 0.0000 0.0000 1
K2 K 0.3333 0.6667 0.6854 1
Sm1 Sm 0.0000 0.0000 0.5000 1
Cr1 Cr 0.3333 0.6667 0.2373 1
O1 O 0.1776 0.3552 0.3211 1
O2 O 0.3333 0.6667 0.0215 1